PBE with a Hubbard U Cs2RuWF6, relaxed; electronic total energy = -4.966 eV/atom; total moment = 4.000 Bohr magnetons per cell
1.0
-4.2702 2.5503 -3.5408
3.2047 -1.5295 -4.9666
-3.0706 -4.0587 -4.4841
F Cs Ru W
6 2 1 1
Cartesian
-2.4284 1.5450 -3.8921
-0.2625 0.2515 -2.0962
1.3629 -0.5242 -4.6153
-0.8030 0.7693 -6.4111
-2.0481 -2.2179 -4.3913
-2.0880 -0.8201 -8.6002
-0.1993 -2.5389 -6.8522
-3.9368 -0.4990 -6.1393
-0.5328 0.5104 -4.2537
0.0000 0.0000 0.0000